[1]
Below is a relaxed Ca2DyMnS4 crystal, with properties calculated at the GGA-PBE level.

Uncorrected energy, eV per atom: -5.966

Cell and atoms, written as extended XYZ:
```
8
Lattice="6.7365 0.0000 0.0000 0.0000 3.9125 0.0000 -2.3131 0.0000 6.4285" Properties=species:S:1:pos:R:3 pbc="T T T"
Ca 0.0000 0.0000 0.0000
Ca 3.3683 1.9563 0.0000
Dy -1.1565 1.9563 3.2143
Mn 2.2117 0.0000 3.2143
S -0.0231 0.0000 4.7661
S 1.1520 1.9563 1.7261
S 3.2714 1.9563 4.7024
S 4.4466 0.0000 1.6624
```

[2]
Below is a relaxed CaDy2MoN4 crystal, with properties calculated at the GGA-PBE level.

Uncorrected energy, eV per atom: -7.988

Cell and atoms, written as extended XYZ:
```
16
Lattice="1.6761 -6.0328 0.0000 1.6761 6.0328 0.0000 0.0000 0.0000 12.1540" Properties=species:S:1:pos:R:3 pbc="T T T"
Ca 1.6761 5.1918 9.1155
Ca 1.6761 -5.1918 3.0385
Dy 1.6761 1.5361 6.5546
Dy 1.6761 1.5361 11.6763
Dy 1.6761 -1.5361 0.4777
Dy 1.6761 -1.5361 5.5993
Mo 1.6761 3.7935 3.0385
Mo 1.6761 -3.7935 9.1155
N 0.0000 0.0000 0.0000
N 0.0000 0.0000 6.0770
N 1.6761 2.8646 1.4164
N 1.6761 2.8646 4.6605
N 1.6761 0.9005 9.1155
N 1.6761 -0.9005 3.0385
N 1.6761 -2.8646 7.4934
N 1.6761 -2.8646 10.7375
```

no.,D(E_F) (states/eV per atom),total magnetic moment (μB per cell),formation energy without anion corrections (eV per atom)
1,0.238,4.38,-1.680
2,0.290,0.00,-1.071